(1)
This record from Alexandria via LeMat-Bulk describes a relaxed structure of CdHN3. The functional is PBE.

a = 4.4673 Å, b = 4.4673 Å, c = 4.4673 Å
α = 90.00°, β = 90.00°, γ = 90.00°
Site moments in Bohr magnetons follow the coordinates.
Element x y z (fractional)
N 0.0000 0.0000 0.5000  1.37
Cd 0.0000 0.0000 0.0000  0.11
H 0.5000 0.5000 0.5000  0.39
N 0.0000 0.5000 0.0000  1.43
N 0.5000 0.0000 0.0000  1.46

The value obtained for the density of states at the Fermi level is 0.5323 states/eV per atom. Its symmetry is Pm-3m (221). The calculation puts the calculated total energy at -0.105 Ha/atom.

(2)
This record from Alexandria via LeMat-Bulk describes a relaxed structure of Cd2HN2. The functional is PBE.

a = 6.1973 Å, b = 6.1973 Å, c = 3.2015 Å
α = 90.00°, β = 90.00°, γ = 90.00°
Element x y z (fractional)
H 0.5000 0.5000 0.0000
Cd 0.3372 0.1628 0.5000
Cd 0.1628 0.6628 0.5000
N 0.8491 0.6509 0.0000
N 0.6509 0.1509 0.0000
Cd 0.6628 0.8372 0.5000
Cd 0.8372 0.3372 0.5000
N 0.3491 0.8491 0.0000
N 0.1509 0.3491 0.0000
H 0.0000 0.0000 0.0000

The calculation puts the energy above the most stable polymorph in this dataset at 0.647 eV per atom. The value obtained for the density of states at the Fermi level is 0.5664 states/eV per atom. Its symmetry is P4/mbm (127). The calculation puts the calculated total energy at -0.112 Ha/atom.

(3)
This record from Alexandria via LeMat-Bulk describes a relaxed structure of CdH4N2. The functional is PBE.

a = 3.5865 Å, b = 3.5865 Å, c = 7.2202 Å
α = 75.62°, β = 75.62°, γ = 90.00°
Site moments in Bohr magnetons follow the coordinates.
Element x y z (fractional)
H 0.0000 0.5000 0.0000  0.01
H 0.7552 0.7552 0.4896  0.00
N 0.3224 0.3224 0.3553  1.15
Cd 0.0000 0.0000 0.0000  0.01
N 0.6776 0.6776 0.6447  1.15
H 0.2448 0.2448 0.5104  0.00
H 0.5000 0.0000 0.0000  0.01

The value obtained for the density of states at the Fermi level is 0.2838 states/eV per atom. Its symmetry is I4/mmm (139). The calculation puts the calculated total energy at -0.121 Ha/atom.

(4)
This record from Alexandria via LeMat-Bulk describes a relaxed structure of CdH2N. The functional is PBE.

a = 4.6013 Å, b = 4.6013 Å, c = 4.6040 Å
α = 60.02°, β = 60.02°, γ = 90.00°
Element x y z (fractional)
H 0.3750 0.6250 0.2500
H 0.3750 0.1250 0.2500
H 0.3750 0.6250 0.7500
N 0.2500 0.7500 0.5000
Cd 0.0000 0.0000 0.0000
N 0.5000 0.5000 0.0000
Cd 0.7500 0.2500 0.5000
H 0.8750 0.6250 0.7500

The calculation puts the energy above the most stable polymorph in this dataset at 0.000 eV per atom. The value obtained for the density of states at the Fermi level is 0.0439 states/eV per atom. Its symmetry is Fd-3m (227). The calculation puts the calculated total energy at -0.125 Ha/atom.